La5Dy2YEr after structural relaxation, computed with PBE-GGA.

## Properties
- V (Å³/cell) = 638
- formation energy (eV per atom) = 0.13

Cell lengths 10.7995, 10.7995, 10.7888 Å; angles 90.00, 90.00, 149.51 degrees
Last column: nearest neighbours and their distance in Å.
Positions (direct):
La1 0.0110 0.9890 0.5000  2 Er 3.31-3.45, 2 Dy 3.58, 2 La 3.68-3.69
La2 0.1197 0.8803 0.7700  6 La 3.68-3.97, 4 Dy 3.70-3.72, 1 Y 3.82
La3 0.2053 0.7947 0.4617  1 Er 3.40, 3 La 3.42-3.77, 2 Y 3.54, 3 Dy 3.56-3.75
La4 0.2234 0.7766 0.0716  1 Er 3.13, 2 La 3.42, 1 Dy 3.43
La5 0.4866 0.5134 0.7616  2 Er 3.35, 4 Dy 3.48-3.73
La6 0.5134 0.4866 0.2616  2 Er 3.35, 4 Dy 3.48-3.73
La7 0.7766 0.2234 0.5716  1 Er 3.13, 2 La 3.42, 1 Dy 3.43
La8 0.7947 0.2053 0.9617  1 Er 3.40, 3 La 3.42-3.77, 2 Y 3.54, 3 Dy 3.56-3.75
La9 0.8803 0.1197 0.2700  6 La 3.68-3.97, 4 Dy 3.70-3.72, 1 Y 3.82
La10 0.9890 0.0110 0.0000  2 Er 3.31-3.45, 2 Dy 3.58, 2 La 3.68-3.69
Dy1 0.3845 0.6155 0.4933  1 Y 3.40, 7 La 3.59-3.75, 2 Er 3.81
Dy2 0.3874 0.6126 0.0499  9 La 3.43-3.73, 1 Y 3.53
Dy3 0.6126 0.3874 0.5499  9 La 3.43-3.73, 1 Y 3.53
Dy4 0.6155 0.3845 0.9933  1 Y 3.40, 7 La 3.59-3.75, 2 Er 3.81
Y1 0.3029 0.6971 0.7667  2 Dy 3.40-3.53, 5 La 3.54-3.68, 2 Er 3.56
Y2 0.6971 0.3029 0.2667  2 Dy 3.40-3.53, 5 La 3.54-3.68, 2 Er 3.56
Er1 0.0965 0.9035 0.2263  6 La 3.13-3.45
Er2 0.9035 0.0965 0.7263  6 La 3.13-3.45